{
  "formula": "Pm4Ag2Sn",
  "functional": "PBE",
  "state": "relaxed",
  "dos_at_fermi_per_ev_atom": 1.181,
  "space_group": "R-3m, No. 166",
  "formation_enthalpy_0k_ev_per_atom": -0.266,
  "lattice": [[-2.5696, -3.0472, -3.4508], [1.4794, -5.0112, -0.7040], [-5.6453, -5.0970, 4.6771]],
  "species": ["Sn", "Pm", "Pm", "Pm", "Pm", "Ag", "Ag"],
  "frac_coords": [[0.0000, 0.0000, 0.0000], [0.3845, 0.3845, 0.8466], [0.8692, 0.8692, 0.3922], [0.1308, 0.1308, 0.6078], [0.6155, 0.6155, 0.1534], [0.2561, 0.2561, 0.2317], [0.7439, 0.7439, 0.7683]]
}

---

{
  "formula": "Nd3GaNiSe7",
  "functional": "PBE",
  "state": "relaxed",
  "e_form_raw_ev_per_atom": -1.32,
  "dos_at_fermi_per_ev_atom": 0.058,
  "space_group": "P6_3, No. 173",
  "lattice": [[10.2379, 0.0000, 0.0000], [-5.1190, 8.8663, 0.0000], [0.0000, 0.0000, 6.6246]],
  "species": ["Se", "Se", "Se", "Se", "Se", "Se", "Se", "Se", "Se", "Se", "Se", "Se", "Se", "Se", "Ni", "Ni", "Ga", "Ga", "Nd", "Nd", "Nd", "Nd", "Nd", "Nd"],
  "frac_coords": [[0.6667, 0.3333, 0.9428], [0.4415, 0.5247, 0.9529], [0.1262, 0.8980, 0.6339], [0.0832, 0.5585, 0.9529], [0.5585, 0.4753, 0.4529], [0.1020, 0.2282, 0.6339], [0.3333, 0.6667, 0.4428], [0.8738, 0.1020, 0.1339], [0.2282, 0.1262, 0.1339], [0.5247, 0.0832, 0.4529], [0.9168, 0.4415, 0.4529], [0.4753, 0.9168, 0.9529], [0.7718, 0.8738, 0.6339], [0.8980, 0.7718, 0.1339], [0.0000, 0.0000, 0.8975], [0.0000, 0.0000, 0.3975], [0.3333, 0.6667, 0.8076], [0.6667, 0.3333, 0.3076], [0.8354, 0.6246, 0.7275], [0.3754, 0.2107, 0.7275], [0.2107, 0.8354, 0.2275], [0.7893, 0.1646, 0.7275], [0.6246, 0.7893, 0.2275], [0.1646, 0.3754, 0.2275]]
}

---

{
  "formula": "Y2PuBiO8",
  "functional": "PBE",
  "state": "relaxed",
  "e_form_raw_ev_per_atom": -2.59,
  "space_group": "P2/m, No. 10",
  "lattice": [[-3.4864, 2.5480, 2.7881], [-2.8726, -4.2576, 0.1315], [3.2580, -2.0153, 5.9158]],
  "species": ["O", "O", "O", "O", "O", "O", "O", "O", "Pu", "Bi", "Y", "Y"],
  "frac_coords": [[0.3141, 0.3122, 0.5000], [0.6859, 0.6878, 0.5000], [0.8149, 0.1869, 0.7839], [0.1851, 0.8132, 0.7839], [0.1851, 0.8131, 0.2161], [0.8149, 0.1868, 0.2161], [0.7190, 0.7207, 0.0000], [0.2810, 0.2793, 0.0000], [0.0000, 0.0000, 0.0000], [0.0000, 0.0000, 0.5000], [0.5000, 0.5000, 0.2560], [0.5000, 0.5000, 0.7440]]
}

---

{
  "formula": "Ho2Mg3Ag2",
  "functional": "PBE",
  "state": "relaxed",
  "dos_at_fermi_per_ev_atom": 0.661,
  "space_group": "C2/m, No. 12",
  "formation_enthalpy_0k_ev_per_atom": -0.223,
  "lattice": [[4.6248, 0.0000, 0.0000], [-2.3124, 4.7162, -1.9096], [0.0000, 0.0071, 7.4645]],
  "species": ["Ho", "Ho", "Mg", "Mg", "Mg", "Ag", "Ag"],
  "frac_coords": [[0.1377, 0.2754, 0.7814], [0.8623, 0.7246, 0.2186], [0.5000, 0.0000, 0.0000], [0.6273, 0.2546, 0.4377], [0.3727, 0.7454, 0.5623], [0.8457, 0.6913, 0.7990], [0.1543, 0.3087, 0.2010]]
}

---

{
  "formula": "Rb2DyU2Te6",
  "functional": "PBE",
  "state": "relaxed",
  "e_form_raw_ev_per_atom": -1.00,
  "dos_at_fermi_per_ev_atom": 1.445,
  "space_group": "C2/m, No. 12",
  "lattice": [[7.7084, -0.0282, 0.0709], [-3.8344, 6.6871, 0.0709], [-1.3717, -2.3579, 8.7530]],
  "species": ["Rb", "Rb", "Te", "Te", "Te", "Te", "Te", "Te", "Dy", "U", "U"],
  "frac_coords": [[0.8339, 0.1661, 0.0000], [0.1661, 0.8339, 0.0000], [0.9326, 0.6008, 0.3018], [0.2691, 0.2691, 0.3023], [0.6008, 0.9326, 0.3018], [0.7309, 0.7309, 0.6977], [0.0674, 0.3992, 0.6982], [0.3992, 0.0674, 0.6982], [0.0000, 0.0000, 0.5000], [0.3329, 0.6671, 0.5000], [0.6671, 0.3329, 0.5000]]
}

---

{
  "formula": "Sr2AlSnO6",
  "functional": "PBE",
  "state": "relaxed",
  "e_form_raw_ev_per_atom": -2.31,
  "dos_at_fermi_per_ev_atom": 0.605,
  "space_group": "R-3m, No. 166",
  "lattice": [[5.6739, 0.0000, 0.0000], [2.8369, 4.9137, 0.0000], [2.8369, 1.6379, 9.5273]],
  "species": ["O", "O", "O", "O", "O", "O", "O", "O", "O", "O", "O", "O", "Al", "Al", "Sn", "Sn", "Sr", "Sr", "Sr", "Sr"],
  "frac_coords": [[0.1953, 0.1953, 0.8839], [0.6153, 0.1464, 0.6231], [0.8047, 0.8047, 0.1161], [0.3847, 0.3847, 0.3769], [0.2745, 0.8047, 0.1161], [0.1464, 0.6153, 0.6231], [0.7255, 0.1953, 0.8839], [0.8047, 0.2745, 0.1161], [0.8536, 0.3847, 0.3769], [0.1953, 0.7255, 0.8839], [0.3847, 0.8536, 0.3769], [0.6153, 0.6153, 0.6231], [0.5000, 0.5000, 0.5000], [0.0000, 0.0000, 0.0000], [0.5923, 0.5923, 0.2231], [0.4077, 0.4077, 0.7769], [0.2804, 0.2804, 0.1588], [0.1357, 0.1357, 0.5929], [0.8643, 0.8643, 0.4071], [0.7196, 0.7196, 0.8412]]
}

---

no.,total DFT energy (no corrections) (eV per formula unit)
1,-30.57
2,-63.34
3,-101.87
4,-21.21
5,-58.92
6,-63.91